No. 1
Compound: Tb6ScTl3
Source: Alexandria
Functional: GGA-PBE
Structure: optimized geometry

Structure (POSCAR):
```
Tb6ScTl3
1.0
5.212 0.000 0.000
0.000 9.674 -2.691
0.000 0.309 11.447
Tb Sc Tl
12 2 6
Direct
0.750 0.885 0.805 Tb
0.750 0.181 0.702 Tb
0.250 0.657 0.683 Tb
0.250 0.253 0.504 Tb
0.750 0.343 0.317 Tb
0.750 0.558 0.908 Tb
0.250 0.819 0.298 Tb
0.750 0.747 0.496 Tb
0.250 0.115 0.195 Tb
0.250 0.442 0.092 Tb
0.750 0.888 0.111 Tb
0.250 0.112 0.889 Tb
0.250 0.961 0.599 Sc
0.750 0.039 0.401 Sc
0.750 0.467 0.608 Tl
0.250 0.533 0.392 Tl
0.750 0.616 0.205 Tl
0.750 0.215 0.033 Tl
0.250 0.384 0.795 Tl
0.250 0.785 0.967 Tl
```

Calculated values
- SG: P2_1/m (11)
- Formation energy: -188 meV per atom
- Calculated total energy: -4.31 eV/atom
- Calculated volume: 29.078 Å³/atom

No. 2
Compound: GeRhWCl2
Source: Alexandria
Functional: GGA-PBE
Structure: optimized geometry

Structure (POSCAR):
```
GeRhWCl2
1.0
-1.422 -4.090 1.396
4.833 -2.040 -1.051
1.336 0.982 4.237
Rh Cl W Ge
1 2 1 1
Direct
0.500 0.500 0.500 Rh
0.500 0.000 0.000 Cl
0.000 0.000 0.500 Cl
0.000 0.000 0.000 W
0.000 0.500 0.000 Ge
```

Calculated values
- SG: P4/mmm (123)
- Calculated total energy: -4.85 eV/atom
- ΔE_f (raw): 0.8769 eV/atom
- Calculated volume: 22.151 Å³/atom

No. 3
Compound: YMnRe2
Source: Alexandria
Functional: GGA-PBE
Structure: optimized geometry

Structure (POSCAR):
```
YMnRe2
1.0
-1.358 -3.462 -2.131
-0.731 -1.255 2.506
-5.566 1.661 0.849
Re Mn Y
2 1 1
Direct
0.500 0.232 0.191 Re
0.000 0.002 0.013 Re
0.500 0.776 0.793 Mn
0.000 0.490 0.503 Y
```

Calculated values
- SG: Pm (6)
- Formation energy: 325 meV per atom
- Calculated total energy: -9.81 eV/atom
- Energy above the most stable polymorph in this dataset: 134 meV per atom
- Calculated volume: 17.676 Å³/atom

No. 4
Compound: La2CdFe
Source: Alexandria
Functional: GGA-PBE
Structure: optimized geometry

Structure (POSCAR):
```
La2CdFe
1.0
3.952 -0.006 0.006
1.978 3.421 0.006
1.959 1.129 8.410
Fe La Cd
1 2 1
Direct
0.750 0.750 0.750 Fe
0.022 0.022 0.934 La
0.478 0.478 0.566 La
0.250 0.250 0.250 Cd
```

Calculated values
- SG: R-3m (166)
- Formation energy: 75 meV per atom
- Calculated total energy: -4.73 eV/atom
- Calculated volume: 28.433 Å³/atom

N(E_F) values, unit states/eV/atom, following the record order: 1.11; 1.19; 1.08; 0.93.